No. 1
Density functional theory data (PBE) for crystalline HgSeS2N at its relaxed geometry.

Cell: 5.009 5.009 3.759 Å, 90.00 90.00 90.00°
Each line ends with the local moment (μB).
Positions (direct):
S (0.000, 0.500, 0.000)  0.11
S (0.500, 0.000, 0.000)  0.11
Hg (0.500, 0.500, 0.500)  -0.01
Se (0.000, 0.000, 0.000)  0.02
N (0.000, 0.000, 0.500)  0.56

Calculated values
The formation energy from raw total energies comes out at 1052 meV/atom. The relative energy among the computed polymorphs comes out at 0.0 meV per atom.


No. 2
Density functional theory data (PBE) for crystalline HgSe2SN at its relaxed geometry.

Cell: 5.364 5.364 3.333 Å, 90.00 90.00 90.00°
Positions (direct):
S (0.000, 0.000, 0.000)
Hg (0.500, 0.500, 0.500)
Se (0.000, 0.500, 0.000)
Se (0.500, 0.000, 0.000)
N (0.000, 0.000, 0.500)

Calculated values
The formation energy from raw total energies comes out at 874 meV/atom. The relative energy among the computed polymorphs comes out at 0.0 meV per atom.


Number 1: total magnetization 1.1 μB/f.u.. Number 2: total magnetization 0.0 μB/f.u..